[1]
A geometry-optimized Ta5Al structure. Source: the Open Quantum Materials Database, functional PBE.

Structure (POSCAR):
```
Ta5Al
1.0
-1.1436 -4.8967 -1.9702
1.8472 0.5155 5.0487
-16.8480 1.5170 6.0094
Al Ta
4 20
Direct
0.6667 0.3333 0.1465
0.6667 0.3333 0.3535
0.3333 0.6667 0.6465
0.3333 0.6667 0.8535
0.5000 0.0000 0.0000
0.0000 0.0000 0.4063
0.1637 0.8363 0.2500
0.3333 0.6667 0.3763
0.6667 0.3333 0.8763
0.6725 0.8363 0.2500
0.0000 0.5000 0.0000
0.5000 0.5000 0.0000
0.6667 0.3333 0.6237
0.5000 0.0000 0.5000
0.1637 0.3275 0.2500
0.8363 0.1637 0.7500
0.5000 0.5000 0.5000
0.0000 0.0000 0.0937
0.3275 0.1637 0.7500
0.0000 0.5000 0.5000
0.0000 0.0000 0.9063
0.3333 0.6667 0.1237
0.0000 0.0000 0.5937
0.8363 0.6725 0.7500
```

Values from the calculation:
Relative energy among the computed polymorphs = 217.0 meV/atom
E_tot = -10.233 eV per atom


[2]
A geometry-optimized Y2Ho2CI2BrCl2 structure. Source: the Open Quantum Materials Database, functional PBE.

Structure (POSCAR):
```
Y2Ho2CI2BrCl2
1.0
9.1053 -1.9151 0.0000
9.1053 1.9151 0.0000
-1.4620 0.0000 7.9273
Ho C Y Br Cl I
2 1 2 1 2 2
Direct
0.0018 0.0018 0.8000
0.9982 0.9982 0.2000
0.5000 0.5000 0.0000
0.3656 0.3656 0.9310
0.6344 0.6344 0.0690
0.5000 0.5000 0.5000
0.1485 0.1485 0.3146
0.8515 0.8515 0.6854
0.8259 0.8259 0.2012
0.1741 0.1741 0.7988
```

Values from the calculation:
Relative energy among the computed polymorphs = 0.0 meV/atom
E_tot = -5.380 eV per atom


[3]
A geometry-optimized ZrInCu2 structure. Source: the Open Quantum Materials Database, functional PBE.

Structure (POSCAR):
```
ZrInCu2
1.0
-2.1233 1.4480 -1.8509
-0.2479 -2.6186 -1.7642
-5.0331 -2.2353 4.0251
Cu In Zr
2 1 1
Direct
0.5000 0.5000 0.2458
0.5000 0.5000 0.7542
0.0000 0.0000 0.0000
0.0000 0.0000 0.5000
```

Values from the calculation:
E_tot = -4.739 eV per atom


[4]
A geometry-optimized NbCuMo structure. Source: the Open Quantum Materials Database, functional PBE.

Structure (POSCAR):
```
NbCuMo
1.0
-0.2708 -3.5021 2.2484
-2.6030 -3.0382 -1.1778
1.5188 -3.5753 -1.5180
Nb Mo Cu
1 1 1
Direct
0.7500 0.7500 0.7500
0.2500 0.2500 0.2500
0.0000 0.0000 0.0000
```

Values from the calculation:
Formation energy from the elements = 734 meV per atom
Relative energy among the computed polymorphs = 0.0 meV/atom
E_tot = -7.486 eV per atom


[5]
A geometry-optimized SmScBe structure. Source: the Open Quantum Materials Database, functional PBE.

Structure (POSCAR):
```
SmScBe
1.0
-1.2916 2.3002 3.7946
-4.4193 1.2278 0.5657
-2.5887 -2.0960 3.2037
Sm Be Sc
1 1 1
Direct
0.7500 0.7500 0.7500
0.2500 0.2500 0.2500
0.0000 0.0000 0.0000
```

Values from the calculation:
Relative energy among the computed polymorphs = 0.0 meV/atom
E_tot = -4.113 eV per atom


[6]
A geometry-optimized LiDyHgS3 structure. Source: the Open Quantum Materials Database, functional PBE.

Structure (POSCAR):
```
LiDyHgS3
1.0
-8.8545 5.0421 -2.3497
-1.9549 -0.0728 7.2106
3.4865 3.5151 -5.5954
Dy Hg S Li
2 2 6 2
Direct
0.0000 0.0000 0.0000
0.5000 0.0000 0.0000
0.2500 0.6264 0.3736
0.7500 0.3736 0.6264
0.5239 0.3694 0.6306
0.0239 0.6306 0.3694
0.9761 0.3694 0.6306
0.2500 0.9503 0.0497
0.7500 0.0497 0.9503
0.4761 0.6306 0.3694
0.7500 0.6339 0.3661
0.2500 0.3661 0.6339
```

Values from the calculation:
Relative energy among the computed polymorphs = 56.7 meV/atom
E_tot = -4.357 eV per atom


[7]
A geometry-optimized Rb2DyYO4 structure. Source: the Open Quantum Materials Database, functional PBE.

Structure (POSCAR):
```
Rb2DyYO4
1.0
-2.4669 0.5800 -2.3757
-0.7876 -1.6469 2.9552
-2.7168 11.3215 5.5852
Rb O Y Dy
2 4 1 1
Direct
0.6667 0.3333 0.2500
0.3333 0.6667 0.7500
0.3333 0.6667 0.4098
0.6667 0.3333 0.9104
0.3333 0.6667 0.0896
0.6667 0.3333 0.5902
0.0000 0.0000 0.5000
0.0000 0.0000 0.0000
```

Values from the calculation:
E_tot = -6.786 eV per atom


[8]
A geometry-optimized GeSbW structure. Source: the Open Quantum Materials Database, functional PBE.

Structure (POSCAR):
```
GeSbW
1.0
4.3206 -1.1911 0.0373
1.1337 -4.3034 0.5323
1.7185 -2.3064 -3.4373
Ge Sb W
1 1 1
Direct
0.0000 0.0000 0.0000
0.2500 0.2500 0.2500
0.7500 0.7500 0.7500
```

Values from the calculation:
Relative energy among the computed polymorphs = 396.0 meV/atom
E_tot = -6.118 eV per atom


[9]
A geometry-optimized HoSiH2O4 structure. Source: the Open Quantum Materials Database, functional PBE.

Structure (POSCAR):
```
HoSiH2O4
1.0
-6.4112 8.6496 4.1436
1.2284 -2.0429 6.1652
4.5163 1.5313 -0.3925
H O Ho Si
8 16 4 4
Direct
0.7437 0.0139 0.4601
0.2563 0.9861 0.5399
0.4895 0.7456 0.2954
0.2437 0.4861 0.4601
0.0105 0.2456 0.7046
0.9895 0.7544 0.2954
0.5105 0.2544 0.7046
0.7563 0.5139 0.5399
0.3000 0.9429 0.7539
0.4939 0.7631 0.0769
0.3023 0.5494 0.7966
0.8000 0.5571 0.7539
0.7000 0.0571 0.2461
0.5111 0.7327 0.5946
0.4889 0.2673 0.4054
0.1977 0.0494 0.2034
0.6977 0.4506 0.2034
0.9889 0.2327 0.4054
0.0061 0.2631 0.9231
0.5061 0.2369 0.9231
0.8023 0.9506 0.7966
0.9939 0.7369 0.0769
0.2000 0.4429 0.2461
0.0111 0.7673 0.5946
0.1724 0.7467 0.9842
0.6724 0.7533 0.9842
0.8276 0.2533 0.0158
0.3276 0.2467 0.0158
0.3942 0.7338 0.7303
0.1058 0.2338 0.2697
0.8942 0.7662 0.7303
0.6058 0.2662 0.2697
```

Values from the calculation:
Relative energy among the computed polymorphs = 0.0 meV/atom
E_tot = -6.585 eV per atom


[10]
A geometry-optimized LaPrMg structure. Source: the Open Quantum Materials Database, functional PBE.

Structure (POSCAR):
```
LaPrMg
1.0
-3.4293 -1.2963 4.0247
-4.1216 -3.4317 -0.9351
0.0848 -5.0040 2.1427
La Pr Mg
1 1 1
Direct
0.2500 0.2500 0.2500
0.7500 0.7500 0.7500
0.0000 0.0000 0.0000
```

Values from the calculation:
Relative energy among the computed polymorphs = 0.0 meV/atom
E_tot = -3.405 eV per atom


[11]
A geometry-optimized HoPAuO structure. Source: the Open Quantum Materials Database, functional PBE.

Structure (POSCAR):
```
HoPAuO
1.0
5.6788 0.0000 0.0000
0.0000 5.6788 0.0000
0.0000 0.0000 4.5798
P Ho O Au
2 2 2 2
Direct
0.5000 0.0000 0.4991
0.0000 0.5000 0.5009
0.5000 0.5000 0.5000
0.0000 0.0000 0.5000
0.0000 0.0000 0.0000
0.5000 0.5000 0.0000
0.5000 0.0000 0.9992
0.0000 0.5000 0.0008
```

Values from the calculation:
Relative energy among the computed polymorphs = 531.3 meV/atom
E_tot = -5.599 eV per atom


[12]
A geometry-optimized ScNiAu2 structure. Source: the Open Quantum Materials Database, functional PBE.

Structure (POSCAR):
```
ScNiAu2
1.0
0.0000 3.2255 3.2255
3.2255 0.0000 3.2255
3.2255 3.2255 0.0000
Sc Au Ni
1 2 1
Direct
0.5000 0.5000 0.5000
0.7500 0.7500 0.7500
0.0000 0.0000 0.0000
0.2500 0.2500 0.2500
```

Values from the calculation:
Formation energy from the elements = -445 meV per atom
E_tot = -5.052 eV per atom